First-principles (PBE) data for a geometry-optimized EuInIr2 structure, as listed in Alexandria via LeMat-Bulk.

Cell lengths 4.767, 4.767, 4.767 Å; angles 60.00, 60.00, 60.00 degrees
Sites, in units of the cell vectors:
Eu1 0.500 0.500 0.500
In1 0.000 0.000 0.000
Ir1 0.750 0.750 0.750
Ir2 0.250 0.250 0.250

Computed properties:
Spin magnetization   1.6395 μB/atom
DOS(E_F)   8.82 states/eV/f.u.
ΔE_f   -0.074 eV per atom
Space-group type   No. 225
Raw total energy   -31.03 eV/cell

First-principles (PBE) data for a geometry-optimized Eu2InIr structure, as listed in Alexandria via LeMat-Bulk.

Cell lengths 3.579, 3.579, 8.101 Å; angles 90.00, 90.00, 90.00 degrees
Sites, in units of the cell vectors:
Eu1 0.000 0.000 0.792
Eu2 0.000 0.000 0.208
Ir1 0.500 0.500 0.000
In1 0.500 0.500 0.500

Computed properties:
Spin magnetization   3.4071 μB/atom
DOS(E_F)   10.23 states/eV/f.u.
ΔE_f   -0.350 eV per atom
Space-group type   No. 123
Polymorph energy (0 for the lowest one)   0.000 eV per atom
Raw total energy   -33.55 eV/cell

First-principles (PBE) data for a geometry-optimized EuIn8Ir2 structure, as listed in Alexandria via LeMat-Bulk.

Cell lengths 4.415, 14.048, 16.369 Å; angles 90.00, 90.00, 90.00 degrees
Sites, in units of the cell vectors:
In1 0.000 0.340 0.044
In2 0.500 0.331 0.877
In3 0.000 0.500 0.500
In4 0.500 0.331 0.488
In5 0.500 0.551 0.815
In6 0.500 0.241 0.179
In7 0.500 0.500 0.000
In8 0.000 0.160 0.544
In9 0.500 0.169 0.988
In10 0.500 0.449 0.185
In11 0.500 0.019 0.134
In12 0.500 0.759 0.821
In13 0.000 0.000 0.000
In14 0.500 0.831 0.623
In15 0.500 0.481 0.634
In16 0.500 0.000 0.500
In17 0.000 0.898 0.747
In18 0.500 0.669 0.512
In19 0.500 0.169 0.377
In20 0.500 0.831 0.012
In21 0.500 0.669 0.123
In22 0.000 0.660 0.956
In23 0.000 0.602 0.247
In24 0.500 0.741 0.321
In25 0.500 0.949 0.315
In26 0.500 0.259 0.679
In27 0.000 0.840 0.456
In28 0.000 0.102 0.253
In29 0.500 0.051 0.685
In30 0.500 0.981 0.866
In31 0.000 0.398 0.753
In32 0.500 0.519 0.366
Eu1 0.000 0.656 0.680
Eu2 0.000 0.344 0.320
Eu3 0.000 0.156 0.820
Eu4 0.000 0.844 0.180
Ir1 0.000 0.154 0.096
Ir2 0.000 0.846 0.904
Ir3 0.000 0.966 0.597
Ir4 0.000 0.346 0.596
Ir5 0.000 0.654 0.404
Ir6 0.000 0.534 0.097
Ir7 0.000 0.466 0.903
Ir8 0.000 0.034 0.403

Computed properties:
Spin magnetization   0.6358 μB/atom
DOS(E_F)   3.27 states/eV/f.u.
ΔE_f   -0.259 eV per atom
Space-group type   No. 55
Raw total energy   -210.99 eV/cell

First-principles (PBE) data for a geometry-optimized LiEuInIr structure, as listed in Alexandria via LeMat-Bulk.

Cell lengths 4.851, 4.851, 4.851 Å; angles 60.00, 60.00, 60.00 degrees
Sites, in units of the cell vectors:
Li1 0.000 0.000 0.000
Eu1 0.750 0.750 0.750
In1 0.250 0.250 0.250
Ir1 0.500 0.500 0.500

Computed properties:
Spin magnetization   1.7412 μB/atom
DOS(E_F)   3.63 states/eV/f.u.
ΔE_f   -0.306 eV per atom
Space-group type   No. 216
Raw total energy   -25.01 eV/cell

First-principles (PBE) data for a geometry-optimized EuLuInIr structure, as listed in Alexandria via LeMat-Bulk.

Cell lengths 5.082, 5.082, 5.082 Å; angles 60.00, 60.00, 60.00 degrees
Sites, in units of the cell vectors:
Ir1 0.000 0.000 0.000
In1 0.500 0.500 0.500
Eu1 0.750 0.750 0.750
Lu1 0.250 0.250 0.250

Computed properties:
Spin magnetization   1.7042 μB/atom
DOS(E_F)   6.86 states/eV/f.u.
ΔE_f   -0.397 eV per atom
Space-group type   No. 216
Raw total energy   -27.98 eV/cell

First-principles (PBE) data for a geometry-optimized EuTmInIr structure, as listed in Alexandria via LeMat-Bulk.

Cell lengths 5.099, 5.099, 5.099 Å; angles 60.00, 60.00, 60.00 degrees
Sites, in units of the cell vectors:
In1 0.000 0.000 0.000
Tm1 0.750 0.750 0.750
Eu1 0.250 0.250 0.250
Ir1 0.500 0.500 0.500

Computed properties:
Spin magnetization   1.7068 μB/atom
DOS(E_F)   6.68 states/eV/f.u.
ΔE_f   -0.399 eV per atom
Space-group type   No. 216
Raw total energy   -27.94 eV/cell